Record 1
An optimized crystal structure of Ac2IrRh, computed with GGA-PBE.

Lattice parameters (Å, degrees): 4.3840 6.1678 8.2608 109.76 90.00 90.00
Element x y z (fractional)
Rh1 0.2500 0.3280 0.2075
Rh2 0.7500 0.6720 0.7925
Ac1 0.7500 0.2242 0.9292
Ac2 0.2500 0.7758 0.0708
Ac3 0.7500 0.2227 0.4333
Ac4 0.2500 0.7773 0.5667
Ir1 0.2500 0.3382 0.7103
Ir2 0.7500 0.6618 0.2897

Calculated values
Its symmetry is P2_1/m. As for the formation energy: -2.54 eV per formula unit. Its density is 11.8 Mg/m³.

Record 2
An optimized crystal structure of LiTlFeI5, computed with GGA-PBE.

Lattice parameters (Å, degrees): 8.4466 8.4466 10.2084 103.28 103.28 103.85
Last column: magnetic moment on the atom in μB.
Element x y z (fractional)
Tl1 0.3214 0.6786 0.2500  0.02
Tl2 0.6786 0.3214 0.7500  0.02
Li1 0.0000 0.0000 0.0000  0.00
Li2 0.0000 0.0000 0.5000  0.00
I1 0.9012 0.3424 0.1256  0.17
I2 0.6166 0.7306 0.9368  0.19
I3 0.9290 0.0710 0.7500  0.05
I4 0.3424 0.9012 0.6256  0.17
I5 0.0710 0.9290 0.2500  0.05
I6 0.3834 0.2694 0.0632  0.19
I7 0.0988 0.6576 0.8744  0.17
I8 0.7306 0.6166 0.4368  0.19
I9 0.2694 0.3834 0.5632  0.19
I10 0.6576 0.0988 0.3744  0.17
Fe1 0.6681 0.3319 0.2500  3.52
Fe2 0.3319 0.6681 0.7500  3.52

Calculated values
Its symmetry is C2/c. Its density is 4.6 Mg/m³. For the energy, the calculation gives -3.091 eV/atom.

Record 3
An optimized crystal structure of Pr4Nd8Ho3, computed with GGA-PBE.

Lattice parameters (Å, degrees): 7.0970 7.0970 12.8042 73.91 73.91 60.00
Element x y z (fractional)
Ho1 0.0000 0.0000 0.5000
Ho2 0.0000 0.5000 0.5000
Ho3 0.5000 0.0000 0.5000
Pr1 0.5000 0.5000 0.5000
Pr2 0.6637 0.6637 0.0088
Pr3 0.3363 0.3363 0.9912
Pr4 0.0000 0.0000 0.0000
Nd1 0.7492 0.2465 0.2550
Nd2 0.2465 0.7492 0.2550
Nd3 0.7535 0.2508 0.7450
Nd4 0.7492 0.7492 0.2550
Nd5 0.7547 0.7547 0.7359
Nd6 0.2508 0.7535 0.7450
Nd7 0.2453 0.2453 0.2641
Nd8 0.2508 0.2508 0.7450

Calculated values
Its symmetry is R-3m. As for the formation energy: 1.68 eV per formula unit. Its density is 6.9 Mg/m³. For the energy above the most stable polymorph in this dataset, the calculation gives 0.000 eV per atom.

Record 4
An optimized crystal structure of Cd2AgCl, computed with GGA-PBE.

Lattice parameters (Å, degrees): 3.3727 3.3727 8.6414 90.00 90.00 113.82
Element x y z (fractional)
Ag1 0.5000 0.5000 0.7469
Cd1 0.5000 0.5000 0.2603
Cd2 0.0000 0.0000 0.9911
Cl1 0.0000 0.0000 0.5017

Calculated values
Its symmetry is Cmm2. Its density is 6.8 Mg/m³. For the energy above the most stable polymorph in this dataset, the calculation gives 0.116 eV per atom.